Record 1
The following is a DFT calculation (GGA-PBE) of an optimized crystal structure of TcMo2Ir.

Structure (extended XYZ):
```
4
Lattice="4.8276 0.0000 0.0000 0.0000 2.7583 0.0000 -1.6199 0.0000 4.5567" Properties=species:S:1:pos:R:3 pbc="T T T"
Tc 0.0000 0.0000 0.0000
Mo 1.6038 0.0000 2.2783
Mo 2.4138 1.3791 0.0000
Ir -0.8100 1.3791 2.2783
```

Distance to the lowest polymorph of the same formula ... 0.063 eV per atom
DFT total energy ... -40.982 eV/cell
Formation energy ... -23.2 meV/atom
Total magnetization ... 0.00 μB/f.u.
Calculated volume ... 61 Å³ per cell



Record 2
The following is a DFT calculation (GGA-PBE) of an optimized crystal structure of Nb2IrO.

Structure (extended XYZ):
```
4
Lattice="1.4269 0.8238 8.2509 -1.4269 0.8238 8.2509 0.0000 -1.6477 8.2509" Properties=species:S:1:pos:R:3 pbc="T T T"
Nb 0.0000 0.0000 2.5246
Nb 0.0000 0.0000 22.2281
Ir 0.0000 0.0000 0.0000
O 0.0000 0.0000 12.3764
```

DFT total energy ... -36.017 eV/cell
Formation energy from raw total energies ... -0.515 eV per atom
Total magnetization ... 0.00 μB/f.u.
Calculated volume ... 58 Å³ per cell



Record 3
The following is a DFT calculation (GGA-PBE) of an optimized crystal structure of KTc2PbO8.

Structure (extended XYZ):
```
12
Lattice="5.5457 -3.1562 0.0000 5.5457 3.1562 0.0000 -2.3671 0.0000 6.4426" Properties=species:S:1:pos:R:3 pbc="T T T"
K 0.0000 0.0000 0.0000
Tc 0.6919 0.0000 4.3437
Tc 8.0324 0.0000 2.0989
Pb 4.3622 0.0000 3.2213
O 3.3751 1.7135 1.5807
O 0.6974 0.0000 2.5968
O 5.3492 1.7135 4.8619
O 2.3801 0.0000 4.8694
O 6.3443 0.0000 1.5731
O 3.3751 -1.7135 1.5807
O 8.0269 0.0000 3.8458
O 5.3492 -1.7135 4.8619
```

DFT total energy ... -82.902 eV/cell
Formation energy from raw total energies ... -1.475 eV per atom
Total magnetization ... 0.00 μB/f.u.
Calculated volume ... 226 Å³ per cell



Record 4
The following is a DFT calculation (GGA-PBE) of an optimized crystal structure of AlTc3Ag.

Structure (extended XYZ):
```
5
Lattice="4.8550 0.0000 0.0000 0.0000 4.8550 0.0000 0.0000 0.0000 4.8550" Properties=species:S:1:pos:R:3 pbc="T T T"
Al 0.0000 0.0000 0.0000
Tc 0.0000 2.4275 2.4275
Tc 2.4275 0.0000 2.4275
Tc 2.4275 2.4275 0.0000
Ag 2.4275 2.4275 2.4275
```

Distance to the lowest polymorph of the same formula ... 0.901 eV per atom
DFT total energy ... -25.892 eV/cell
Formation energy ... 2360.0 meV/atom
Total magnetization ... 7.76 μB/f.u.
Calculated volume ... 114 Å³ per cell



Record 5
The following is a DFT calculation (GGA-PBE) of an optimized crystal structure of NpCo2P.

Structure (extended XYZ):
```
8
Lattice="3.6222 0.0000 0.0000 0.0000 3.6222 0.0000 0.0000 0.0000 8.9237" Properties=species:S:1:pos:R:3 pbc="T T T"
Np 0.9056 0.9056 1.8764
Np 2.7167 2.7167 7.0472
Co 0.9056 0.9056 8.0656
Co 0.9056 2.7167 4.4618
Co 2.7167 0.9056 4.4618
Co 2.7167 2.7167 0.8581
P 0.9056 0.9056 5.7405
P 2.7167 2.7167 3.1832
```

DFT total energy ... -68.643 eV/cell
Formation energy ... -439.8 meV/atom
Total magnetization ... 2.98 μB/f.u.
Calculated volume ... 117 Å³ per cell



Record 6
The following is a DFT calculation (GGA-PBE) of an optimized crystal structure of SrMgI2.

Structure (extended XYZ):
```
4
Lattice="0.0000 4.1592 4.1592 4.1592 0.0000 4.1592 4.1592 4.1592 0.0000" Properties=species:S:1:pos:R:3 pbc="T T T"
Sr 0.0000 0.0000 0.0000
Mg 4.1592 4.1592 4.1592
I 2.0796 2.0796 2.0796
I 6.2388 6.2388 6.2388
```

Distance to the lowest polymorph of the same formula ... 0.000 eV per atom
DFT total energy ... -9.746 eV/cell
Formation energy from raw total energies ... -0.842 eV per atom
Total magnetization ... 0.00 μB/f.u.
Calculated volume ... 144 Å³ per cell



Record 7
The following is a DFT calculation (GGA-PBE) of an optimized crystal structure of Cd2Hg2I.

Structure (extended XYZ):
```
10
Lattice="8.7107 0.0000 0.0000 0.0000 8.7107 0.0000 0.0000 0.0000 3.7936" Properties=species:S:1:pos:R:3 pbc="T T T"
Cd 1.5913 2.7641 0.0000
Cd 2.7641 7.1194 0.0000
Cd 5.9466 1.5913 0.0000
Cd 7.1194 5.9466 0.0000
Hg 1.0791 5.4345 1.8968
Hg 3.2762 1.0791 1.8968
Hg 5.4345 7.6315 1.8968
Hg 7.6315 3.2762 1.8968
I 0.0000 0.0000 1.8968
I 4.3553 4.3553 1.8968
```

Distance to the lowest polymorph of the same formula ... 0.070 eV per atom
DFT total energy ... -7.749 eV/cell
Formation energy from raw total energies ... 0.022 eV per atom
Total magnetization ... 0.00 μB/f.u.
Calculated volume ... 288 Å³ per cell



Record 8
The following is a DFT calculation (GGA-PBE) of an optimized crystal structure of PmSm2PaP4.

Structure (extended XYZ):
```
8
Lattice="-2.8739 2.8739 5.7569 2.8739 -2.8739 5.7569 2.8739 2.8739 -5.7569" Properties=species:S:1:pos:R:3 pbc="T T T"
Pm 0.0000 0.0000 0.0000
Sm 0.0000 0.0000 5.7569
Sm 0.0000 2.8739 2.8784
Pa 2.8739 0.0000 2.8784
P 2.8739 0.0000 0.1109
P 0.0000 0.0000 2.8851
P 2.8739 0.0000 5.6460
P 0.0000 0.0000 8.6287
```

DFT total energy ... -57.453 eV/cell
Formation energy ... -1516.1 meV/atom
Total magnetization ... 0.00 μB/f.u.
Calculated volume ... 190 Å³ per cell



Record 9
The following is a DFT calculation (GGA-PBE) of an optimized crystal structure of CeThS2O.

Structure (extended XYZ):
```
10
Lattice="3.9738 0.0000 0.0000 0.0000 3.9738 0.0000 0.0000 0.0000 13.5342" Properties=species:S:1:pos:R:3 pbc="T T T"
Ce 0.9934 0.9934 1.2519
Ce 2.9803 2.9803 12.2823
Th 0.9934 0.9934 8.2002
Th 2.9803 2.9803 5.3340
S 0.9934 0.9934 5.1985
S 0.9934 0.9934 10.9442
S 2.9803 2.9803 2.5900
S 2.9803 2.9803 8.3357
O 0.9934 2.9803 0.0000
O 2.9803 0.9934 0.0000
```

DFT total energy ... -77.684 eV/cell
Formation energy from raw total energies ... -2.455 eV per atom
Total magnetization ... 0.69 μB/f.u.
Calculated volume ... 214 Å³ per cell



Record 10
The following is a DFT calculation (GGA-PBE) of an optimized crystal structure of ReHg2Mo.

Structure (extended XYZ):
```
4
Lattice="-1.6371 2.2765 4.8278 1.6371 -2.2765 4.8278 1.6371 2.2765 -4.8278" Properties=species:S:1:pos:R:3 pbc="T T T"
Re 0.0000 0.0000 0.0000
Hg 1.6371 0.0000 2.3920
Hg 0.0000 2.2765 2.4359
Mo 0.0000 0.0000 4.8278
```

Distance to the lowest polymorph of the same formula ... 0.432 eV per atom
DFT total energy ... -20.500 eV/cell
Formation energy ... 845.7 meV/atom
Total magnetization ... 0.00 μB/f.u.
Calculated volume ... 72 Å³ per cell



Record 11
The following is a DFT calculation (GGA-PBE) of an optimized crystal structure of LaNiSe.

Structure (extended XYZ):
```
3
Lattice="0.0000 3.3292 3.3292 3.3292 0.0000 3.3292 3.3292 3.3292 0.0000" Properties=species:S:1:pos:R:3 pbc="T T T"
La 0.0000 0.0000 0.0000
Ni 3.3292 3.3292 3.3292
Se 4.9938 4.9938 4.9938
```

Distance to the lowest polymorph of the same formula ... 0.600 eV per atom
DFT total energy ... -15.750 eV/cell
Formation energy from raw total energies ... -0.519 eV per atom
Total magnetization ... 0.00 μB/f.u.
Calculated volume ... 74 Å³ per cell



Record 12
The following is a DFT calculation (GGA-PBE) of an optimized crystal structure of Pu3Rh5Au.

Structure (extended XYZ):
```
18
Lattice="8.1498 0.0000 0.0000 -4.0749 7.0579 0.0000 0.0000 0.0000 5.7309" Properties=species:S:1:pos:R:3 pbc="T T T"
Pu -1.4700 2.5461 1.4327
Pu -2.6049 4.5118 4.2982
Pu 2.9400 0.0000 1.4327
Pu 1.4700 2.5461 4.2982
Pu 5.2098 0.0000 4.2982
Pu 2.6049 4.5118 1.4327
Rh -1.2562 2.1757 4.2982
Rh -2.8187 4.8822 1.4327
Rh 2.5123 0.0000 4.2982
Rh 1.2562 2.1757 1.4327
Rh 0.0000 4.7053 0.0000
Rh 0.0000 4.7053 2.8654
Rh 4.0749 2.3526 0.0000
Rh 4.0749 2.3526 2.8654
Rh 5.6375 0.0000 1.4327
Rh 2.8187 4.8822 4.2982
Au 0.0000 0.0000 0.0000
Au 0.0000 0.0000 2.8654
```

DFT total energy ... -173.572 eV/cell
Formation energy ... -417.3 meV/atom
Total magnetization ... 13.75 μB/f.u.
Calculated volume ... 330 Å³ per cell



Record 13
The following is a DFT calculation (GGA-PBE) of an optimized crystal structure of ScTiNiPt.

Structure (extended XYZ):
```
4
Lattice="0.0000 3.1711 3.1711 3.1711 0.0000 3.1711 3.1711 3.1711 0.0000" Properties=species:S:1:pos:R:3 pbc="T T T"
Sc 0.0000 0.0000 0.0000
Ti 3.1711 3.1711 3.1711
Ni 1.5856 1.5856 1.5856
Pt 4.7567 4.7567 4.7567
```

DFT total energy ... -28.904 eV/cell
Formation energy ... -713.8 meV/atom
Total magnetization ... 0.00 μB/f.u.
Calculated volume ... 64 Å³ per cell



Record 14
The following is a DFT calculation (GGA-PBE) of an optimized crystal structure of CsH6N2.

Structure (extended XYZ):
```
18
Lattice="6.6916 -4.0135 0.0000 6.6916 4.0135 0.0000 -1.7372 0.0000 7.0520" Properties=species:S:1:pos:R:3 pbc="T T T"
Cs 5.3887 2.0395 5.2890
Cs 6.2573 -2.0395 1.7630
H 4.3821 2.6394 1.3067
H 1.2533 0.3597 4.6529
H 1.7370 0.3139 6.2091
H 2.1219 -0.3597 1.1268
H 2.6056 -0.3139 2.6831
H 8.1325 2.6394 2.2193
H 3.5135 -2.6394 4.8328
H 9.0403 0.3139 4.3690
H 9.5240 0.3597 5.9252
H 9.9089 -0.3139 0.8430
H 10.3926 -0.3597 2.3992
H 7.2639 -2.6394 5.7453
N 0.8986 0.4045 5.6177
N 1.7672 -0.4045 2.0917
N 9.8787 0.4045 4.9604
N 10.7473 -0.4045 1.4343
```

DFT total energy ... -80.888 eV/cell
Total magnetization ... 0.00 μB/f.u.
Calculated volume ... 379 Å³ per cell



Record 15
The following is a DFT calculation (GGA-PBE) of an optimized crystal structure of ZnInPd.

Structure (extended XYZ):
```
6
Lattice="-1.6137 1.6137 10.4699 1.6137 -1.6137 10.4699 1.6137 1.6137 -10.4699" Properties=species:S:1:pos:R:3 pbc="T T T"
Zn 0.0000 0.0000 4.5218
Zn 0.0000 0.0000 16.4180
In 0.0000 0.0000 1.4323
In 0.0000 0.0000 19.5075
Pd 0.0000 0.0000 7.3356
Pd 0.0000 0.0000 13.6041
```

DFT total energy ... -20.570 eV/cell
Formation energy ... -359.9 meV/atom
Total magnetization ... 0.00 μB/f.u.
Calculated volume ... 109 Å³ per cell



Record 16
The following is a DFT calculation (GGA-PBE) of an optimized crystal structure of CaMg2ZnO4.

Structure (extended XYZ):
```
16
Lattice="1.5563 -5.3390 0.0000 1.5563 5.3390 0.0000 0.0000 0.0000 11.1620" Properties=species:S:1:pos:R:3 pbc="T T T"
Ca 1.5563 3.9272 8.3715
Ca 1.5563 -3.9272 2.7905
Mg 1.5563 1.3724 5.9218
Mg 1.5563 1.3724 10.8213
Mg 1.5563 -1.3724 0.3407
Mg 1.5563 -1.3724 5.2403
Zn 1.5563 3.9162 2.7905
Zn 1.5563 -3.9162 8.3715
O 0.0000 0.0000 0.0000
O 0.0000 0.0000 5.5810
O 1.5563 2.6482 1.2741
O 1.5563 2.6482 4.3069
O 1.5563 0.2750 8.3715
O 1.5563 -0.2750 2.7905
O 1.5563 -2.6482 6.8551
O 1.5563 -2.6482 9.8879
```

DFT total energy ... -89.354 eV/cell
Formation energy from raw total energies ... -2.297 eV per atom
Total magnetization ... 0.00 μB/f.u.
Calculated volume ... 185 Å³ per cell



Record 17
The following is a DFT calculation (GGA-PBE) of an optimized crystal structure of SrLaSc2Rh.

Structure (extended XYZ):
```
5
Lattice="5.3180 0.0000 0.0000 0.0000 5.3180 0.0000 0.0000 0.0000 5.5114" Properties=species:S:1:pos:R:3 pbc="T T T"
Sr 0.0000 0.0000 0.0000
La 2.6590 2.6590 0.0000
Sc 0.0000 2.6590 2.7557
Sc 2.6590 0.0000 2.7557
Rh 2.6590 2.6590 2.7557
```

DFT total energy ... -27.794 eV/cell
Formation energy ... -234.0 meV/atom
Total magnetization ... 0.00 μB/f.u.
Calculated volume ... 156 Å³ per cell



Record 18
The following is a DFT calculation (GGA-PBE) of an optimized crystal structure of Th3TlRu.

Structure (extended XYZ):
```
5
Lattice="5.4345 0.0000 0.0000 0.0000 5.4345 0.0000 0.0000 0.0000 5.4345" Properties=species:S:1:pos:R:3 pbc="T T T"
Th 0.0000 0.0000 2.7173
Th 0.0000 2.7173 0.0000
Th 2.7173 0.0000 0.0000
Tl 2.7173 2.7173 2.7173
Ru 0.0000 0.0000 0.0000
```

Distance to the lowest polymorph of the same formula ... 0.081 eV per atom
DFT total energy ... -34.497 eV/cell
Formation energy ... -119.2 meV/atom
Total magnetization ... 0.00 μB/f.u.
Calculated volume ... 161 Å³ per cell



Record 19
The following is a DFT calculation (GGA-PBE) of an optimized crystal structure of YHRu2.

Structure (extended XYZ):
```
4
Lattice="0.0000 3.1312 3.1312 3.1312 0.0000 3.1312 3.1312 3.1312 0.0000" Properties=species:S:1:pos:R:3 pbc="T T T"
Y 0.0000 0.0000 0.0000
H 3.1312 3.1312 3.1312
Ru 1.5656 1.5656 1.5656
Ru 4.6969 4.6969 4.6969
```

DFT total energy ... -24.638 eV/cell
Total magnetization ... 0.00 μB/f.u.
Calculated volume ... 61 Å³ per cell



Record 20
The following is a DFT calculation (GGA-PBE) of an optimized crystal structure of CrRh.

Structure (extended XYZ):
```
8
Lattice="4.6473 0.0000 0.0000 0.0000 4.1897 0.0000 0.0000 0.0000 5.3120" Properties=species:S:1:pos:R:3 pbc="T T T"
Cr 0.3716 1.0474 0.6525
Cr 1.9521 3.1423 3.3085
Cr 2.6952 1.0474 2.0034
Cr 4.2757 3.1423 4.6594
Rh 0.4402 1.0474 3.3318
Rh 1.8834 3.1423 0.6758
Rh 2.7639 1.0474 4.6362
Rh 4.2071 3.1423 1.9802
```

DFT total energy ... -68.273 eV/cell
Formation energy ... -46.8 meV/atom
Total magnetization ... 0.00 μB/f.u.
Calculated volume ... 103 Å³ per cell



Record 21
The following is a DFT calculation (GGA-PBE) of an optimized crystal structure of ErTm3Pd.

Structure (extended XYZ):
```
10
Lattice="5.6834 -4.1900 0.0000 5.6834 4.1900 0.0000 -4.8333 0.0000 6.0985" Properties=species:S:1:pos:R:3 pbc="T T T"
Er -0.4900 0.0000 1.6820
Er 7.0235 0.0000 4.4166
Tm -1.2183 1.6709 4.5202
Tm -1.2183 -1.6709 4.5202
Tm 1.9000 0.0000 4.1927
Tm 4.6335 0.0000 1.9059
Tm 7.7518 1.6709 1.5783
Tm 7.7518 -1.6709 1.5783
Pd 2.2377 0.0000 0.4991
Pd 4.2958 0.0000 5.5994
```

Distance to the lowest polymorph of the same formula ... 0.000 eV per atom
DFT total energy ... -49.109 eV/cell
Formation energy ... -276.9 meV/atom
Total magnetization ... 0.00 μB/f.u.
Calculated volume ... 290 Å³ per cell



Record 22
The following is a DFT calculation (GGA-PBE) of an optimized crystal structure of Tb3TiTl4Te8.

Structure (extended XYZ):
```
16
Lattice="4.3774 2.5273 8.1715 -4.3774 2.5273 8.1715 0.0000 -5.0546 8.1715" Properties=species:S:1:pos:R:3 pbc="T T T"
Tb -2.1887 -1.2637 8.1715
Tb -2.1887 1.2636 16.3430
Tb 0.0000 2.5273 8.1715
Ti 0.0000 0.0000 0.0000
Tl -4.3774 0.0000 12.2572
Tl -2.1887 1.2636 4.0857
Tl 2.1887 1.2637 4.0857
Tl 0.0000 0.0000 12.2572
Te 0.0000 -2.6711 9.8663
Te -2.3133 1.3356 9.8663
Te -2.3133 -1.3356 14.6482
Te 0.0000 0.0000 6.3944
Te 0.0000 0.0000 18.1201
Te 2.3133 1.3356 9.8663
Te 2.3133 -1.3356 14.6482
Te 0.0000 2.6711 14.6482
```

DFT total energy ... -70.761 eV/cell
Formation energy from raw total energies ... -0.899 eV per atom
Total magnetization ... 1.03 μB/f.u.
Calculated volume ... 542 Å³ per cell



Record 23
The following is a DFT calculation (GGA-PBE) of an optimized crystal structure of Ho7ErAl5.

Structure (extended XYZ):
```
13
Lattice="-3.0423 5.1093 5.3165 3.0423 -5.1093 5.3165 3.0423 5.1093 -5.3165" Properties=species:S:1:pos:R:3 pbc="T T T"
Ho 0.0000 0.0000 0.0000
Ho 3.0423 1.6716 1.6067
Ho 0.0000 0.0000 3.5158
Ho 3.0423 0.0000 4.6042
Ho 0.0000 3.1400 1.7716
Ho 0.0000 7.0787 1.7716
Ho 0.0000 3.4377 6.9232
Er 0.0000 0.0000 7.1688
Al 1.4998 2.4555 -1.0149
Al 4.5849 2.4555 -1.0149
Al -1.5425 2.6539 4.3017
Al 1.5425 2.6539 4.3017
Al 0.0000 5.1093 4.2447
```

DFT total energy ... -58.204 eV/cell
Formation energy ... -221.8 meV/atom
Total magnetization ... 0.00 μB/f.u.
Calculated volume ... 331 Å³ per cell



Record 24
The following is a DFT calculation (GGA-PBE) of an optimized crystal structure of Ag2Ge3Te4.

Structure (extended XYZ):
```
9
Lattice="7.0570 -2.2034 0.0000 7.0570 2.2034 0.0000 -6.4980 0.0000 8.2919" Properties=species:S:1:pos:R:3 pbc="T T T"
Ag 0.3835 0.0000 3.2265
Ag 7.2326 0.0000 5.0654
Ge -3.3469 0.0000 6.5972
Ge 7.0570 0.0000 0.0000
Ge 10.9630 0.0000 1.6947
Te 1.9404 0.0000 0.8064
Te 1.9607 0.0000 5.6208
Te 5.6554 0.0000 2.6711
Te 5.6757 0.0000 7.4855
```

DFT total energy ... -32.247 eV/cell
Formation energy from raw total energies ... -0.014 eV per atom
Total magnetization ... 0.00 μB/f.u.
Calculated volume ... 258 Å³ per cell